# 1
Material: ZnSi2Mo
Method: DFT, GGA-PBE
State: optimized geometry

Cell lengths 6.1436, 6.1436, 6.1436 Å; angles 90.00, 90.00, 90.00 degrees
Last column: nearest neighbours and their distance in Å.
Fractional coordinates of all 16 atoms:
Zn 0.0000 0.0000 0.0000  4 Si 2.66, 4 Mo 2.66
Zn 0.0000 0.5000 0.5000  4 Si 2.66, 4 Mo 2.66
Zn 0.5000 0.0000 0.5000  4 Si 2.66, 4 Mo 2.66
Zn 0.5000 0.5000 0.0000  4 Si 2.66, 4 Mo 2.66
Si 0.0000 0.0000 0.5000  4 Mo 2.66, 4 Si 2.66
Si 0.0000 0.5000 0.0000  4 Mo 2.66, 4 Si 2.66
Si 0.2500 0.2500 0.2500  4 Si 2.66, 4 Zn 2.66
Si 0.2500 0.7500 0.7500  4 Si 2.66, 4 Zn 2.66
Si 0.5000 0.0000 0.0000  4 Mo 2.66, 4 Si 2.66
Si 0.5000 0.5000 0.5000  4 Mo 2.66, 4 Si 2.66
Si 0.7500 0.2500 0.7500  4 Si 2.66, 4 Zn 2.66
Si 0.7500 0.7500 0.2500  4 Si 2.66, 4 Zn 2.66
Mo 0.2500 0.2500 0.7500  4 Si 2.66, 4 Zn 2.66
Mo 0.2500 0.7500 0.2500  4 Si 2.66, 4 Zn 2.66
Mo 0.7500 0.2500 0.2500  4 Si 2.66, 4 Zn 2.66
Mo 0.7500 0.7500 0.7500  4 Si 2.66, 4 Zn 2.66

- Volume: 14.49 A^3/atom
- E: -20.98 eV/f.u.


# 2
Material: Cd2PbAu
Method: DFT, GGA-PBE
State: optimized geometry

Cell lengths 7.2220, 7.2220, 7.2220 Å; angles 90.00, 90.00, 90.00 degrees
Last column: nearest neighbours and their distance in Å.
Fractional coordinates of all 16 atoms:
Cd 0.0000 0.0000 0.0000  4 Cd 3.13, 4 Au 3.13
Cd 0.0000 0.5000 0.5000  4 Cd 3.13, 4 Au 3.13
Cd 0.2500 0.2500 0.2500  4 Cd 3.13, 4 Pb 3.13
Cd 0.2500 0.7500 0.7500  4 Cd 3.13, 4 Pb 3.13
Cd 0.5000 0.0000 0.5000  4 Cd 3.13, 4 Au 3.13
Cd 0.5000 0.5000 0.0000  4 Cd 3.13, 4 Au 3.13
Cd 0.7500 0.2500 0.7500  4 Cd 3.13, 4 Pb 3.13
Cd 0.7500 0.7500 0.2500  4 Cd 3.13, 4 Pb 3.13
Pb 0.0000 0.0000 0.5000  4 Cd 3.13, 4 Au 3.13
Pb 0.0000 0.5000 0.0000  4 Cd 3.13, 4 Au 3.13
Pb 0.5000 0.0000 0.0000  4 Cd 3.13, 4 Au 3.13
Pb 0.5000 0.5000 0.5000  4 Cd 3.13, 4 Au 3.13
Au 0.2500 0.2500 0.7500  4 Cd 3.13, 4 Pb 3.13
Au 0.2500 0.7500 0.2500  4 Cd 3.13, 4 Pb 3.13
Au 0.7500 0.2500 0.2500  4 Cd 3.13, 4 Pb 3.13
Au 0.7500 0.7500 0.7500  4 Cd 3.13, 4 Pb 3.13

- Volume: 23.54 A^3/atom
- E: -8.60 eV/f.u.


# 3
Material: Hf2NbAl
Method: DFT, GGA-PBE
State: optimized geometry

Cell lengths 6.7519, 6.7519, 6.7519 Å; angles 90.00, 90.00, 90.00 degrees
Last column: nearest neighbours and their distance in Å.
Fractional coordinates of all 16 atoms:
Hf 0.0000 0.0000 0.0000  4 Hf 2.92, 4 Nb 2.92
Hf 0.0000 0.5000 0.5000  4 Hf 2.92, 4 Nb 2.92
Hf 0.2500 0.2500 0.2500  4 Hf 2.92, 4 Al 2.92
Hf 0.2500 0.7500 0.7500  4 Hf 2.92, 4 Al 2.92
Hf 0.5000 0.0000 0.5000  4 Hf 2.92, 4 Nb 2.92
Hf 0.5000 0.5000 0.0000  4 Hf 2.92, 4 Nb 2.92
Hf 0.7500 0.2500 0.7500  4 Hf 2.92, 4 Al 2.92
Hf 0.7500 0.7500 0.2500  4 Hf 2.92, 4 Al 2.92
Nb 0.2500 0.2500 0.7500  4 Hf 2.92, 4 Al 2.92
Nb 0.2500 0.7500 0.2500  4 Hf 2.92, 4 Al 2.92
Nb 0.7500 0.2500 0.2500  4 Hf 2.92, 4 Al 2.92
Nb 0.7500 0.7500 0.7500  4 Hf 2.92, 4 Al 2.92
Al 0.0000 0.0000 0.5000  4 Hf 2.92, 4 Nb 2.92
Al 0.0000 0.5000 0.0000  4 Hf 2.92, 4 Nb 2.92
Al 0.5000 0.0000 0.0000  4 Hf 2.92, 4 Nb 2.92
Al 0.5000 0.5000 0.5000  4 Hf 2.92, 4 Nb 2.92

- Volume: 19.24 A^3/atom
- E: -33.79 eV/f.u.


# 4
Material: Dy3Tm4Fe2Te2
Method: DFT, GGA-PBE
State: optimized geometry

Cell lengths 9.2733, 9.2733, 9.2733 Å; angles 156.08, 65.73, 119.80 degrees
Last column: nearest neighbours and their distance in Å.
Fractional coordinates of all 11 atoms:
Dy 0.0000 0.0000 0.0000  3 Te 3.10-3.13
Dy 0.4451 0.5808 0.8644  2 Fe 2.78
Dy 0.7164 0.5808 0.1356  2 Fe 2.78
Tm 0.0610 0.3742 0.6868  2 Fe 2.74
Tm 0.0811 0.7322 0.3489  2 Fe 2.79
Tm 0.3834 0.7322 0.6511  2 Fe 2.79
Tm 0.6874 0.3742 0.3132  2 Fe 2.74
Fe 0.3036 0.0676 0.2360  4 Tm 2.74-2.79, 2 Dy 2.78
Fe 0.8316 0.0676 0.7640  4 Tm 2.74-2.79, 2 Dy 2.78
Te 0.3329 0.3329 0.0000  3 Dy 3.10-3.13, 4 Tm 3.18
Te 0.7343 0.2344 0.5000  6 Dy 3.13-3.19, 2 Tm 3.19

- Volume: 25.31 A^3/atom
- E: -60.04 eV/f.u.


# 5
Material: GdMgZn
Method: DFT, GGA-PBE
State: optimized geometry

Cell lengths 5.9559, 6.3049, 8.3200 Å; angles 91.18, 91.70, 117.60 degrees
Last column: nearest neighbours and their distance in Å.
Fractional coordinates of all 12 atoms:
Gd 0.0000 0.0000 0.0000  2 Zn 2.96-2.99, 2 Mg 3.15-3.20, 1 Gd 3.19
Gd 0.1115 0.2426 0.6374  4 Zn 3.02-3.31, 2 Mg 3.09-3.33, 2 Gd 3.35
Gd 0.2417 0.7971 0.5030  5 Zn 3.06-3.27, 3 Mg 3.29-3.34, 1 Gd 3.42
Gd 0.4272 0.5878 0.9622  3 Zn 2.96-3.01, 2 Mg 3.18-3.30, 1 Gd 3.19
Mg 0.3321 0.3396 0.2995  2 Zn 2.73-2.82
Mg 0.5459 0.1214 0.8356  3 Zn 2.81-2.92
Mg 0.7665 0.8577 0.3395  2 Zn 2.73-2.79
Mg 0.8950 0.4672 0.1611  3 Zn 2.95-3.28, 2 Mg 3.24-3.25
Zn 0.4484 0.9907 0.1632  4 Mg 2.79-2.95, 2 Gd 2.96-2.99
Zn 0.6775 0.3404 0.5236  2 Zn 2.70-2.84, 2 Mg 2.73-2.92
Zn 0.6842 0.7389 0.6534  2 Zn 2.61-2.70, 1 Mg 2.73
Zn 0.9579 0.5803 0.8104  2 Zn 2.61-2.84, 1 Mg 2.81

- Volume: 23.05 A^3/atom
- E: -7.86 eV/f.u.


# 6
Material: AlFeSi2
Method: DFT, GGA-PBE
State: optimized geometry

Cell lengths 5.8648, 5.8648, 5.8648 Å; angles 90.00, 90.00, 90.00 degrees
Last column: nearest neighbours and their distance in Å.
Fractional coordinates of all 16 atoms:
Al 0.0000 0.0000 0.0000  4 Fe 2.54, 4 Si 2.54
Al 0.0000 0.5000 0.5000  4 Fe 2.54, 4 Si 2.54
Al 0.5000 0.0000 0.5000  4 Fe 2.54, 4 Si 2.54
Al 0.5000 0.5000 0.0000  4 Fe 2.54, 4 Si 2.54
Fe 0.2500 0.2500 0.2500  4 Al 2.54, 4 Si 2.54
Fe 0.2500 0.7500 0.7500  4 Al 2.54, 4 Si 2.54
Fe 0.7500 0.2500 0.7500  4 Al 2.54, 4 Si 2.54
Fe 0.7500 0.7500 0.2500  4 Al 2.54, 4 Si 2.54
Si 0.0000 0.0000 0.5000  4 Fe 2.54, 4 Si 2.54
Si 0.0000 0.5000 0.0000  4 Fe 2.54, 4 Si 2.54
Si 0.2500 0.2500 0.7500  4 Al 2.54, 4 Si 2.54
Si 0.2500 0.7500 0.2500  4 Al 2.54, 4 Si 2.54
Si 0.5000 0.0000 0.0000  4 Fe 2.54, 4 Si 2.54
Si 0.5000 0.5000 0.5000  4 Fe 2.54, 4 Si 2.54
Si 0.7500 0.2500 0.2500  4 Al 2.54, 4 Si 2.54
Si 0.7500 0.7500 0.7500  4 Al 2.54, 4 Si 2.54

- Volume: 12.61 A^3/atom
- E: -22.09 eV/f.u.


# 7
Material: LiLuHfNi
Method: DFT, GGA-PBE
State: optimized geometry

Cell lengths 6.6146, 6.6146, 6.6146 Å; angles 90.00, 90.00, 90.00 degrees
Last column: nearest neighbours and their distance in Å.
Fractional coordinates of all 16 atoms:
Li 0.0000 0.0000 0.0000  4 Hf 2.86, 4 Lu 2.86
Li 0.0000 0.5000 0.5000  4 Hf 2.86, 4 Lu 2.86
Li 0.5000 0.0000 0.5000  4 Hf 2.86, 4 Lu 2.86
Li 0.5000 0.5000 0.0000  4 Hf 2.86, 4 Lu 2.86
Lu 0.2500 0.2500 0.7500  4 Li 2.86, 4 Ni 2.86
Lu 0.2500 0.7500 0.2500  4 Li 2.86, 4 Ni 2.86
Lu 0.7500 0.2500 0.2500  4 Li 2.86, 4 Ni 2.86
Lu 0.7500 0.7500 0.7500  4 Ni 2.86, 4 Li 2.86
Hf 0.2500 0.2500 0.2500  4 Li 2.86, 4 Ni 2.86
Hf 0.2500 0.7500 0.7500  4 Li 2.86, 4 Ni 2.86
Hf 0.7500 0.2500 0.7500  4 Li 2.86, 4 Ni 2.86
Hf 0.7500 0.7500 0.2500  4 Li 2.86, 4 Ni 2.86
Ni 0.0000 0.0000 0.5000  4 Hf 2.86, 4 Lu 2.86
Ni 0.0000 0.5000 0.0000  4 Hf 2.86, 4 Lu 2.86
Ni 0.5000 0.0000 0.0000  4 Hf 2.86, 4 Lu 2.86
Ni 0.5000 0.5000 0.5000  4 Lu 2.86, 4 Hf 2.86

- Volume: 18.09 A^3/atom
- E: -22.20 eV/f.u.
- ΔE to the lowest computed polymorph: 0.0 kJ per mole of atoms


# 8
Material: Mg2BiW
Method: DFT, GGA-PBE
State: optimized geometry

Cell lengths 6.9184, 6.9184, 6.9184 Å; angles 90.00, 90.00, 90.00 degrees
Last column: nearest neighbours and their distance in Å.
Fractional coordinates of all 16 atoms:
Mg 0.0000 0.0000 0.0000  4 W 3.00, 4 Mg 3.00
Mg 0.0000 0.5000 0.5000  4 W 3.00, 4 Mg 3.00
Mg 0.2500 0.2500 0.2500  4 Bi 3.00, 4 Mg 3.00
Mg 0.2500 0.7500 0.7500  4 Bi 3.00, 4 Mg 3.00
Mg 0.5000 0.0000 0.5000  4 W 3.00, 4 Mg 3.00
Mg 0.5000 0.5000 0.0000  4 W 3.00, 4 Mg 3.00
Mg 0.7500 0.2500 0.7500  4 Bi 3.00, 4 Mg 3.00
Mg 0.7500 0.7500 0.2500  4 Bi 3.00, 4 Mg 3.00
Bi 0.0000 0.0000 0.5000  4 Mg 3.00, 4 W 3.00
Bi 0.0000 0.5000 0.0000  4 Mg 3.00, 4 W 3.00
Bi 0.5000 0.0000 0.0000  4 Mg 3.00, 4 W 3.00
Bi 0.5000 0.5000 0.5000  4 Mg 3.00, 4 W 3.00
W 0.2500 0.2500 0.7500  4 Bi 3.00, 4 Mg 3.00
W 0.2500 0.7500 0.2500  4 Bi 3.00, 4 Mg 3.00
W 0.7500 0.2500 0.2500  4 Bi 3.00, 4 Mg 3.00
W 0.7500 0.7500 0.7500  4 Bi 3.00, 4 Mg 3.00

- Volume: 20.70 A^3/atom
- E: -17.11 eV/f.u.


# 9
Material: Hg2Pd
Method: DFT, GGA-PBE
State: optimized geometry

Cell lengths 5.6288, 5.6288, 5.6288 Å; angles 60.00, 60.00, 60.00 degrees
Last column: nearest neighbours and their distance in Å.
Fractional coordinates of all 6 atoms:
Hg 0.0000 0.0000 0.0000  6 Hg 2.81
Hg 0.0000 0.0000 0.5000  6 Hg 2.81
Hg 0.0000 0.5000 0.0000  6 Hg 2.81
Hg 0.5000 0.0000 0.0000  6 Hg 2.81
Pd 0.3750 0.3750 0.3750  12 Hg 3.30, 4 Pd 3.45
Pd 0.6250 0.6250 0.6250  12 Hg 3.30, 4 Pd 3.45

- Volume: 21.02 A^3/atom
- Formation enthalpy at 0 K: 0.31 eV per atom
- E: -4.83 eV/f.u.


# 10
Material: PrZr
Method: DFT, GGA-PBE
State: optimized geometry

Cell lengths 3.3805, 5.4760, 12.5273 Å; angles 90.00, 90.00, 90.00 degrees
Last column: nearest neighbours and their distance in Å.
Fractional coordinates of all 8 atoms:
Pr 0.2500 0.2500 0.0638  8 Pr 3.38-3.59, 2 Zr 3.70
Pr 0.2500 0.7500 0.2282  4 Pr 3.38-3.43, 6 Zr 3.42-3.44
Pr 0.7500 0.2500 0.7718  4 Pr 3.38-3.43, 6 Zr 3.42-3.44
Pr 0.7500 0.7500 0.9362  8 Pr 3.38-3.59, 2 Zr 3.70
Zr 0.2500 0.2500 0.5341  10 Zr 3.11-3.38, 2 Pr 3.42
Zr 0.2500 0.7500 0.6739  6 Zr 3.11-3.38, 4 Pr 3.44
Zr 0.7500 0.2500 0.3261  6 Zr 3.11-3.38, 4 Pr 3.44
Zr 0.7500 0.7500 0.4659  10 Zr 3.11-3.38, 2 Pr 3.42

- Volume: 28.99 A^3/atom
- Formation enthalpy at 0 K: 0.12 eV per atom
- E: -13.08 eV/f.u.
- ΔE to the lowest computed polymorph: 2.2 kJ per mole of atoms